1.
Entry from Alexandria via LeMat-Bulk: a geometry-optimized RbBaCr2O8 structure (GGA+U).

For the total energy, the calculation gives -6.36 eV/atom. The total magnetization comes out at 1.1 μB per formula unit.

a = 6.0230 Å, b = 6.0230 Å, c = 8.6260 Å
α = 90.00°, β = 90.00°, γ = 120.00°
Last column: nearest neighbours and their distance in Å.
Element x y z (fractional)
O  0.8222  0.6351  0.2839  1 Cr 1.67
O  0.1778  0.3649  0.7161  1 Cr 1.67
O  0.3649  0.1871  0.2839  1 Cr 1.67
O  0.1871  0.8222  0.7161  1 Cr 1.67
Ba  0.0000  0.0000  0.5000  6 O 2.66
Cr  0.3333  0.6667  0.7812  4 O 1.64-1.67
O  0.6667  0.3333  0.0286  1 Cr 1.64
O  0.8129  0.1778  0.2839  1 Cr 1.67
O  0.6351  0.8129  0.7161  1 Cr 1.67
Cr  0.6667  0.3333  0.2188  4 O 1.64-1.67
O  0.3333  0.6667  0.9714  1 Cr 1.64
Rb  0.0000  0.0000  0.0000  6 O 3.10

***

2.
Entry from Alexandria via LeMat-Bulk: a geometry-optimized Ba2CrReO6 structure (GGA+U).

For the total energy, the calculation gives -7.54 eV/atom. The total magnetization comes out at 2.2 μB per formula unit.

a = 5.8343 Å, b = 5.8343 Å, c = 10.0870 Å
α = 73.19°, β = 73.19°, γ = 60.00°
Last column: nearest neighbours and their distance in Å.
Element x y z (fractional)
O  0.8520  0.3888  0.3704  1 Re 1.99, 1 Cr 2.07
O  0.7150  0.2015  0.8820  1 Re 1.99, 1 Cr 2.01
Cr  0.5911  0.5911  0.2267  6 O 2.01-2.07
O  0.2850  0.7985  0.1180  1 Re 1.99, 1 Cr 2.01
Ba  0.7139  0.7139  0.8584  12 O 2.83-3.01
O  0.3888  0.8520  0.3704  1 Re 1.99, 1 Cr 2.07
Ba  0.8732  0.8732  0.3806  12 O 2.92-2.99
Re  0.5000  0.5000  0.5000  6 O 1.99
O  0.2015  0.7150  0.8820  1 Re 1.99, 1 Cr 2.01
O  0.7985  0.7985  0.1180  1 Re 1.99, 1 Cr 2.01
O  0.6112  0.6112  0.6296  1 Re 1.99, 1 Cr 2.07
O  0.6112  0.1480  0.6296  1 Re 1.99, 1 Cr 2.07
Ba  0.2861  0.2861  0.1416  12 O 2.83-3.01
O  0.7985  0.2850  0.1180  1 Re 1.99, 1 Cr 2.01
O  0.3888  0.3888  0.3704  1 Re 1.99, 1 Cr 2.07
O  0.2015  0.2015  0.8820  1 Re 1.99, 1 Cr 2.01
Cr  0.4089  0.4089  0.7733  6 O 2.01-2.07
Ba  0.1268  0.1268  0.6194  12 O 2.92-2.99
Re  0.0000  0.0000  0.0000  6 O 1.99
O  0.1480  0.6112  0.6296  1 Re 1.99, 1 Cr 2.07

***

3.
Entry from Alexandria via LeMat-Bulk: a geometry-optimized BaCrRe2O8 structure (GGA+U).

For the total energy, the calculation gives -7.91 eV/atom. The total magnetization comes out at 6.0 μB per formula unit.

a = 5.6857 Å, b = 5.6857 Å, c = 7.4718 Å
α = 90.00°, β = 90.00°, γ = 120.00°
Last column: nearest neighbours and their distance in Å.
Element x y z (fractional)
O  0.9083  0.6803  0.3171  1 Re 1.81
O  0.7720  0.0917  0.3171  1 Re 1.81
Ba  0.0000  0.0000  0.0000  6 O 2.87
O  0.3333  0.6667  0.9852  1 Re 1.79
Re  0.3333  0.6667  0.7453  4 O 1.79-1.81
O  0.0917  0.3197  0.6829  1 Re 1.81
O  0.2280  0.9083  0.6829  1 Re 1.81
O  0.3197  0.2280  0.3171  1 Re 1.81
O  0.6667  0.3333  0.0148  1 Re 1.79
Re  0.6667  0.3333  0.2547  4 O 1.79-1.81
Cr  0.0000  0.0000  0.5000  6 O 2.12
O  0.6803  0.7720  0.6829  1 Re 1.81

***

4.
Entry from Alexandria via LeMat-Bulk: a geometry-optimized Ba2CrRhO6 structure (GGA+U).

For the total energy, the calculation gives -6.72 eV/atom. The total magnetization comes out at 1.0 μB per formula unit.

a = 5.0044 Å, b = 5.8247 Å, c = 5.8247 Å
α = 120.00°, β = 90.00°, γ = 90.00°
Last column: nearest neighbours and their distance in Å.
Element x y z (fractional)
Cr  0.5000  0.0000  0.0000  6 O 1.97
O  0.7434  0.1541  0.3082  1 Cr 1.97, 1 Rh 2.02
O  0.2566  0.3082  0.1541  1 Cr 1.97, 1 Rh 2.02
Ba  0.7529  0.6667  0.3333  12 O 2.92-3.10
Rh  0.0000  0.0000  0.0000  6 O 2.02
O  0.7434  0.6918  0.8459  1 Cr 1.97, 1 Rh 2.02
O  0.2566  0.8459  0.6918  1 Cr 1.97, 1 Rh 2.02
O  0.2566  0.8459  0.1541  1 Cr 1.97, 1 Rh 2.02
O  0.7434  0.1541  0.8459  1 Cr 1.97, 1 Rh 2.02
Ba  0.2471  0.3333  0.6667  12 O 2.92-3.10

***

5.
Entry from Alexandria via LeMat-Bulk: a geometry-optimized BaCrRhO6 structure (GGA+U).

For the total energy, the calculation gives -6.58 eV/atom. The total magnetization comes out at 0.9 μB per formula unit.

a = 5.1977 Å, b = 5.2607 Å, c = 5.7572 Å
α = 90.52°, β = 90.25°, γ = 59.59°
Last column: nearest neighbours and their distance in Å.
Element x y z (fractional)
O  0.9952  0.3876  0.3164  1 Cr 1.95, 1 Rh 1.95
Ba  0.9996  0.0002  0.9999  6 O 2.70-2.72
Rh  0.3355  0.3323  0.5000  6 O 1.95-2.00
Cr  0.6556  0.6722  0.5000  6 O 1.87-1.95
O  0.6113  0.3910  0.6906  1 Rh 1.95, 1 Cr 1.95
O  0.6116  0.9975  0.3094  1 Rh 1.95, 1 Cr 1.95
O  0.9950  0.6173  0.6836  1 Cr 1.95, 1 Rh 1.95
O  0.3979  0.9897  0.6895  1 Cr 1.87, 1 Rh 2.00
O  0.3980  0.6124  0.3105  1 Cr 1.87, 1 Rh 2.00

***

6.
Entry from Alexandria via LeMat-Bulk: a geometry-optimized BaCrRu2O8 structure (GGA+U).

For the total energy, the calculation gives -6.95 eV/atom. The total magnetization comes out at 6.0 μB per formula unit.

a = 5.3439 Å, b = 5.3439 Å, c = 7.5573 Å
α = 90.00°, β = 90.00°, γ = 120.00°
Last column: nearest neighbours and their distance in Å.
Element x y z (fractional)
O  0.9683  0.6938  0.3323  1 Ru 1.82, 1 Cr 2.01
Cr  0.0000  0.0000  0.5000  6 O 2.01
O  0.6667  0.3333  0.0474  1 Ru 1.81
Ba  0.0000  0.0000  0.0000  12 O 2.96-3.11
O  0.7255  0.0317  0.3323  1 Ru 1.82, 1 Cr 2.01
O  0.6938  0.7255  0.6677  1 Ru 1.82, 1 Cr 2.01
O  0.2745  0.9683  0.6677  1 Ru 1.82, 1 Cr 2.01
O  0.3333  0.6667  0.9526  1 Ru 1.81
Ru  0.3333  0.6667  0.7136  4 O 1.81-1.82
Ru  0.6667  0.3333  0.2864  4 O 1.81-1.82
O  0.0317  0.3062  0.6677  1 Ru 1.82, 1 Cr 2.01
O  0.3062  0.2745  0.3323  1 Ru 1.82, 1 Cr 2.01